No. 1
Material: Na3TaAg
Method: DFT, PBE-GGA
State: relaxed

Unit cell a=5.9491 b=5.9491 c=5.9491 alpha=90.00 beta=90.00 gamma=90.00
With the nearest neighbours (Å) after each atom.
Element x y z (fractional)
Na1 0.0000 0.0000 0.5000  2 Ta 2.97
Na2 0.0000 0.5000 0.0000  2 Ta 2.97
Na3 0.5000 0.0000 0.0000  2 Ta 2.97
Ta1 0.0000 0.0000 0.0000  6 Na 2.97
Ag1 0.5000 0.5000 0.5000  12 Na 4.21

Output
The raw total energy is -2.178 eV per atom. As for the relative energy among the computed polymorphs: 267 meV/atom. The volume comes out at 210.6 Å³ per cell.

No. 2
Material: NaTaAg2
Method: DFT, PBE-GGA
State: relaxed

Unit cell a=4.7286 b=4.7286 c=4.7286 alpha=60.00 beta=60.00 gamma=60.00
With the nearest neighbours (Å) after each atom.
Element x y z (fractional)
Na1 0.0000 0.0000 0.0000  8 Ag 2.90
Ta1 0.5000 0.5000 0.5000  8 Ag 2.90
Ag1 0.2500 0.2500 0.2500  4 Ta 2.90, 4 Na 2.90
Ag2 0.7500 0.7500 0.7500  4 Ta 2.90, 4 Na 2.90

Output
The raw total energy is -4.070 eV per atom. As for the relative energy among the computed polymorphs: 0 meV/atom. The volume comes out at 74.8 Å³ per cell.

No. 3
Material: Na2TaAg
Method: DFT, PBE-GGA
State: relaxed

Unit cell a=6.4613 b=6.4613 c=6.4613 alpha=100.75 beta=100.75 gamma=128.82
With the nearest neighbours (Å) after each atom.
Element x y z (fractional)
Na1 0.0934 0.6250 0.9684  2 Ag 2.82, 2 Na 2.84
Na2 0.3750 0.3434 0.4684  2 Ag 2.82, 2 Na 2.84
Na3 0.6566 0.1250 0.0316  2 Ag 2.82, 2 Na 2.84
Na4 0.8750 0.9066 0.5316  2 Ag 2.82, 2 Na 2.84
Ta1 0.2500 0.7500 0.5000  2 Ag 2.79
Ta2 0.5000 0.5000 0.0000  2 Ag 2.79
Ag1 0.0000 0.0000 0.0000  2 Ta 2.79, 4 Na 2.82
Ag2 0.7500 0.2500 0.5000  2 Ta 2.79, 4 Na 2.82

Output
The raw total energy is -3.116 eV per atom. As for the relative energy among the computed polymorphs: 0 meV/atom. The volume comes out at 189.6 Å³ per cell.

No. 4
Material: Na3TaAg
Method: DFT, PBE-GGA
State: relaxed

Unit cell a=5.4275 b=5.4275 c=5.4275 alpha=90.00 beta=90.00 gamma=90.00
With the nearest neighbours (Å) after each atom.
Element x y z (fractional)
Na1 0.0000 0.0000 0.5000  2 Ag 2.71
Na2 0.0000 0.5000 0.0000  2 Ag 2.71
Na3 0.5000 0.0000 0.0000  2 Ag 2.71
Ta1 0.5000 0.5000 0.5000  12 Na 3.84
Ag1 0.0000 0.0000 0.0000  6 Na 2.71

Output
The raw total energy is -2.445 eV per atom. As for the relative energy among the computed polymorphs: 0 meV/atom. The volume comes out at 159.9 Å³ per cell.

No. 5
Material: NaTaAg2
Method: DFT, PBE-GGA
State: relaxed

Unit cell a=6.1065 b=6.1065 c=6.1065 alpha=104.11 beta=104.11 gamma=120.82
With the nearest neighbours (Å) after each atom.
Element x y z (fractional)
Na1 0.0000 0.0000 0.0000  4 Ag 2.81, 2 Ta 3.02
Na2 0.7500 0.2500 0.5000  4 Ag 2.81, 2 Ta 3.02
Ta1 0.2500 0.7500 0.5000  4 Ag 2.72, 2 Na 3.02
Ta2 0.5000 0.5000 0.0000  4 Ag 2.72, 2 Na 3.02
Ag1 0.1338 0.6250 0.0088  2 Ta 2.72, 2 Na 2.81, 2 Ag 3.02
Ag2 0.3750 0.3838 0.5088  2 Ta 2.72, 2 Na 2.81, 2 Ag 3.02
Ag3 0.6162 0.1250 0.9912  2 Ta 2.72, 2 Na 2.81, 2 Ag 3.02
Ag4 0.8750 0.8662 0.4912  2 Ta 2.72, 2 Na 2.81, 2 Ag 3.02

Output
The raw total energy is -3.712 eV per atom. As for the relative energy among the computed polymorphs: 358 meV/atom. The volume comes out at 170.1 Å³ per cell.

No. 6
Material: Na2TaAg
Method: DFT, PBE-GGA
State: relaxed

Unit cell a=4.9472 b=4.9472 c=4.9472 alpha=60.00 beta=60.00 gamma=60.00
With the nearest neighbours (Å) after each atom.
Element x y z (fractional)
Na1 0.2500 0.2500 0.2500  4 Ta 3.03, 4 Ag 3.03
Na2 0.7500 0.7500 0.7500  4 Ta 3.03, 4 Ag 3.03
Ta1 0.0000 0.0000 0.0000  8 Na 3.03
Ag1 0.5000 0.5000 0.5000  8 Na 3.03

Output
The raw total energy is -3.025 eV per atom. As for the relative energy among the computed polymorphs: 91 meV/atom. The volume comes out at 85.6 Å³ per cell.

No. 7
Material: Na2Ta2AgTe6
Method: DFT, PBE-GGA
State: relaxed

Unit cell a=7.0668 b=7.0668 c=7.8728 alpha=96.70 beta=96.70 gamma=119.97
With the nearest neighbours (Å) after each atom.
Element x y z (fractional)
Na1 0.1765 0.8235 0.0000  6 Te 3.17-3.35
Na2 0.8235 0.1765 0.0000  6 Te 3.17-3.35
Ta1 0.3650 0.6350 0.5000  6 Te 2.73-2.92
Ta2 0.6350 0.3650 0.5000  6 Te 2.73-2.92
Ag1 0.0000 0.0000 0.5000  4 Te 2.94
Te1 0.0365 0.4029 0.6919  2 Ta 2.82-2.92, 1 Ag 2.94
Te2 0.3182 0.3182 0.2358  2 Ta 2.73
Te3 0.4029 0.0365 0.6919  2 Ta 2.82-2.92, 1 Ag 2.94
Te4 0.5971 0.9635 0.3081  2 Ta 2.82-2.92, 1 Ag 2.94
Te5 0.6818 0.6818 0.7642  2 Ta 2.73
Te6 0.9635 0.5971 0.3081  2 Ta 2.82-2.92, 1 Ag 2.94

Output
The raw total energy is -4.733 eV per atom. For the energy relative to the elements, uncorrected, the calculation gives -0.3655 eV per atom. The volume comes out at 331.2 Å³ per cell.

No. 8
Material: Na3TaAg2Te6
Method: DFT, PBE-GGA
State: relaxed

Unit cell a=7.4385 b=7.4385 c=7.7074 alpha=98.16 beta=98.16 gamma=121.51
With the nearest neighbours (Å) after each atom.
Element x y z (fractional)
Na1 0.0000 0.0000 0.0000  6 Te 3.22-3.27
Na2 0.3177 0.6823 0.0000  6 Te 3.24-3.26
Na3 0.6823 0.3177 0.0000  6 Te 3.24-3.26
Ta1 0.5000 0.5000 0.5000  6 Te 2.75-2.84
Ag1 0.1632 0.8368 0.5000  6 Te 2.81-3.10
Ag2 0.8368 0.1632 0.5000  6 Te 2.81-3.10
Te1 0.1055 0.4189 0.2941  2 Ag 2.81-3.06, 1 Ta 2.84
Te2 0.2757 0.2757 0.7323  1 Ta 2.75
Te3 0.4189 0.1055 0.2941  2 Ag 2.81-3.06, 1 Ta 2.84
Te4 0.5811 0.8945 0.7059  2 Ag 2.81-3.06, 1 Ta 2.84
Te5 0.7243 0.7243 0.2677  1 Ta 2.75
Te6 0.8945 0.5811 0.7059  2 Ag 2.81-3.06, 1 Ta 2.84

Output
The raw total energy is -3.712 eV per atom. For the energy relative to the elements, uncorrected, the calculation gives -0.3489 eV per atom. The volume comes out at 347.9 Å³ per cell.

No. 9
Material: NaTbAg2
Method: DFT, PBE-GGA
State: relaxed

Unit cell a=9.1328 b=9.1328 c=9.1328 alpha=23.38 beta=23.38 gamma=23.38
With the nearest neighbours (Å) after each atom.
Element x y z (fractional)
Na1 0.0000 0.0000 0.0000  6 Ag 3.13
Tb1 0.5000 0.5000 0.5000  6 Ag 3.03
Ag1 0.2473 0.2473 0.2473  3 Tb 3.03, 3 Na 3.13
Ag2 0.7527 0.7527 0.7527  3 Tb 3.03, 3 Na 3.13

Output
The raw total energy is -2.887 eV per atom. As for the relative energy among the computed polymorphs: 165 meV/atom. The volume comes out at 105.3 Å³ per cell.

No. 10
Material: NaTbAg2
Method: DFT, PBE-GGA
State: relaxed

Unit cell a=3.6335 b=3.6335 c=7.4531 alpha=90.00 beta=90.00 gamma=90.00
With the nearest neighbours (Å) after each atom.
Element x y z (fractional)
Na1 0.0000 0.0000 0.0000  8 Ag 3.27, 4 Na 3.63
Tb1 0.0000 0.0000 0.5000  8 Ag 3.08
Ag1 0.5000 0.5000 0.2719  4 Tb 3.08, 4 Na 3.27, 1 Ag 3.40
Ag2 0.5000 0.5000 0.7281  4 Tb 3.08, 4 Na 3.27, 1 Ag 3.40

Output
The raw total energy is -3.052 eV per atom. As for the relative energy among the computed polymorphs: 0 meV/atom. The volume comes out at 98.4 Å³ per cell.

No. 11
Material: NaTbAg2
Method: DFT, PBE-GGA
State: relaxed

Unit cell a=5.0745 b=5.0745 c=5.0745 alpha=60.00 beta=60.00 gamma=60.00
With the nearest neighbours (Å) after each atom.
Element x y z (fractional)
Na1 0.0000 0.0000 0.0000  8 Ag 3.11
Tb1 0.5000 0.5000 0.5000  8 Ag 3.11
Ag1 0.2500 0.2500 0.2500  4 Tb 3.11, 4 Na 3.11
Ag2 0.7500 0.7500 0.7500  4 Tb 3.11, 4 Na 3.11

Output
The raw total energy is -3.021 eV per atom. As for the relative energy among the computed polymorphs: 31 meV/atom. The volume comes out at 92.4 Å³ per cell.

No. 12
Material: NaTbAg4
Method: DFT, PBE-GGA
State: relaxed

Unit cell a=5.6626 b=5.6626 c=5.6626 alpha=60.00 beta=60.00 gamma=60.00
With the nearest neighbours (Å) after each atom.
Element x y z (fractional)
Na1 0.0000 0.0000 0.0000  12 Ag 3.32, 4 Tb 3.47
Tb1 0.2500 0.2500 0.2500  12 Ag 3.32, 4 Na 3.47
Ag1 0.1240 0.6253 0.6253  6 Ag 2.82-2.84
Ag2 0.6253 0.1240 0.6253  6 Ag 2.82-2.84
Ag3 0.6253 0.6253 0.1240  6 Ag 2.82-2.84
Ag4 0.6253 0.6253 0.6253  6 Ag 2.82-2.84

Output
The raw total energy is -2.983 eV per atom. The volume comes out at 128.4 Å³ per cell.

Q: What is the formula in the first record?
A: Na3TaAg